(1)
Computed, not measured: an optimized crystal structure of PuZrPaTc at the PBE level of DFT.

POSCAR file:
```
PuZrPaTc
1.0
-1.213 2.503 -4.022
-4.505 -0.395 -1.860
-3.110 3.761 0.306
Pa Tc Zr Pu
1 1 1 1
direct
0.000 0.000 0.000 Pa
0.750 0.750 0.750 Tc
0.500 0.500 0.500 Zr
0.250 0.250 0.250 Pu
```

## Properties
The space group is No. 216. The total DFT energy (no corrections) is -42.74 eV per cell.

***

(2)
Computed, not measured: an optimized crystal structure of Hg2Te2I at the PBE level of DFT.

POSCAR file:
```
Hg2Te2I
1.0
8.580 0.000 0.000
0.000 8.580 0.000
0.000 0.000 4.180
I Te Hg
2 4 4
direct
0.000 0.000 0.000 I
0.500 0.500 0.000 I
0.333 0.833 0.000 Te
0.833 0.667 0.000 Te
0.667 0.167 0.000 Te
0.167 0.333 0.000 Te
0.141 0.641 0.500 Hg
0.641 0.859 0.500 Hg
0.859 0.359 0.500 Hg
0.359 0.141 0.500 Hg
```

## Properties
The calculation puts the energy above the lowest structure with this stoichiometry at 0.183 eV/atom. Its uncorrected formation energy is 0.13 eV/atom. The space group is No. 127.

***

(3)
Computed, not measured: an optimized crystal structure of CuSi3 at the PBE level of DFT.

POSCAR file:
```
CuSi3
1.0
-0.926 -2.163 -1.309
-0.587 0.351 2.604
-7.168 4.407 -2.209
Cu Si
1 3
direct
0.000 0.000 0.000 Cu
0.000 0.000 0.500 Si
0.667 0.333 0.239 Si
0.667 0.333 0.761 Si
```

## Properties
Its uncorrected formation energy is 0.37 eV/atom. The space group is No. 187.